ScAl2Au2 | PBE-GGA | relaxed

a b c (Å): 7.6818 7.6818 3.0091
angles (deg): 90.00 90.00 90.00
Last column: nearest neighbours and their distance in Å.
Positions (direct):
Sc: 0.0000 0.0000 0.0000  2 Sc 3.01, 4 Al 3.02, 8 Au 3.22
Sc: 0.5000 0.5000 0.0000  2 Sc 3.01, 4 Al 3.02, 8 Au 3.22
Au: 0.1703 0.6703 0.5000  6 Al 2.65-2.76
Au: 0.6703 0.8297 0.5000  6 Al 2.65-2.76
Au: 0.8297 0.3297 0.5000  6 Al 2.65-2.76
Au: 0.3297 0.1703 0.5000  6 Al 2.65-2.76
Al: 0.3715 0.8715 0.0000  6 Au 2.65-2.76, 1 Al 2.79
Al: 0.8715 0.6285 0.0000  6 Au 2.65-2.76, 1 Al 2.79
Al: 0.6285 0.1285 0.0000  6 Au 2.65-2.76, 1 Al 2.79
Al: 0.1285 0.3715 0.0000  6 Au 2.65-2.76, 1 Al 2.79

Calculated values
**N(E_F)**: 0.718 states/eV/atom
**ΔH_f (0 K)**: -2.1 eV per formula unit

Tl2CN2 | PBE-GGA | relaxed

a b c (Å): 7.2437 3.9500 5.5161
angles (deg): 68.89 67.19 57.11
Last column: nearest neighbours and their distance in Å.
Positions (direct):
Tl: 0.2165 0.4549 0.1548  3 N 2.58-2.63
Tl: 0.7835 0.5451 0.8452  3 N 2.58-2.63
C: 0.5000 0.5000 0.5000  2 N 1.24
N: 0.5408 0.3472 0.7246  1 C 1.24
N: 0.4592 0.6528 0.2754  1 C 1.24

Calculated values
**Formation energy without anion corrections**: 98.6 meV per atom
**N(E_F)**: 0.000 states/eV/atom
**Distance to the lowest polymorph of the same formula**: 0 kJ/mol of formula units

K2Na7Cd2 | PBE-GGA | relaxed

a b c (Å): 5.1926 9.4709 9.4709
angles (deg): 74.67 74.29 74.29
Last column: nearest neighbours and their distance in Å.
Positions (direct):
K: 0.8649 0.6330 0.6330  1 K 3.77, 2 Cd 3.83, 8 Na 3.91-4.21
K: 0.1351 0.3670 0.3670  1 K 3.77, 2 Cd 3.83, 8 Na 3.91-4.21
Na: 0.6461 0.0987 0.6090  2 Cd 3.34-3.35, 1 Na 3.49
Na: 0.3539 0.3910 0.9013  2 Cd 3.34-3.35, 1 Na 3.49
Na: 0.3539 0.9013 0.3910  2 Cd 3.34-3.35, 1 Na 3.49
Na: 0.6461 0.6090 0.0987  2 Cd 3.34-3.35, 1 Na 3.49
Na: 0.5000 0.0000 0.0000  8 Na 3.44-3.49, 4 Cd 3.54
Na: 0.8407 0.1600 0.1600  2 Cd 3.31, 2 Na 3.44-3.45
Na: 0.1593 0.8400 0.8400  2 Cd 3.31, 2 Na 3.44-3.45
Cd: 0.0000 0.7899 0.2101  8 Na 3.31-3.54
Cd: 0.0000 0.2101 0.7899  8 Na 3.31-3.54

Calculated values
**N(E_F)**: 0.463 states/eV/atom
**ΔH_f (0 K)**: -0.1 eV per formula unit